# PaTeCl | Alexandria | PBE | relaxed
data_PaTeCl
_cell_length_a 6.9285
_cell_length_b 4.0039
_cell_length_c 8.3890
_cell_angle_alpha 90.00
_cell_angle_beta 113.12
_cell_angle_gamma 90.00
_symmetry_space_group_name_H-M 'C 1 m 1'
_symmetry_Int_Tables_number 8
loop_
_symmetry_equiv_pos_as_xyz
'x,y,z'
'x,-y,z'
'x+1/2,y+1/2,z'
'x+1/2,-y+1/2,z'
loop_
_atom_site_label
_atom_site_type_symbol
_atom_site_fract_x
_atom_site_fract_y
_atom_site_fract_z
_atom_site_occupancy
Pa1 Pa 0.0000 0.0000 0.0000 1
Te1 Te 0.2895 0.5000 0.2584 1
Cl1 Cl 0.0587 0.5000 0.7734 1
# E_tot (eV/atom): -5.8719
# M_tot (μB per formula unit): 2.0
# Uncorrected formation energy (eV per atom): -1.04
# ρ (g cm⁻³): 6.1

# La2SeF | Alexandria | PBE | relaxed
data_La2SeF
_cell_length_a 7.4737
_cell_length_b 7.4737
_cell_length_c 7.2716
_cell_angle_alpha 90.00
_cell_angle_beta 90.00
_cell_angle_gamma 90.00
_symmetry_space_group_name_H-M 'I -4 2 d'
_symmetry_Int_Tables_number 122
_symmetry_space_group_name_Hall 'I -4 2bw'
loop_
_atom_site_label
_atom_site_type_symbol
_atom_site_fract_x
_atom_site_fract_y
_atom_site_fract_z
_atom_site_occupancy
La1 La 0.1888 0.2500 0.1250 1
Se1 Se 0.0000 0.0000 0.5000 1
F1 F 0.0000 0.0000 0.0000 1
# E_tot (eV/atom): -5.7658
# M_tot (μB per formula unit): 0.0
# Uncorrected formation energy (eV per atom): -1.96
# ρ (g cm⁻³): 6.1

# NdCo3 | Alexandria | PBE | relaxed
data_NdCo3
_cell_length_a 5.0533
_cell_length_b 5.0533
_cell_length_c 24.8275
_cell_angle_alpha 90.00
_cell_angle_beta 90.00
_cell_angle_gamma 120.00
_symmetry_space_group_name_H-M 'R -3 m'
_symmetry_Int_Tables_number 166
_symmetry_space_group_name_Hall '-R 3 2"'
loop_
_atom_site_label
_atom_site_type_symbol
_atom_site_fract_x
_atom_site_fract_y
_atom_site_fract_z
_atom_site_occupancy
Nd1 Nd 0.0000 0.0000 0.0000 1
Nd2 Nd 0.0000 0.0000 0.1399 1
Co1 Co 0.0000 0.0000 0.3335 1
Co2 Co 0.0000 0.0000 0.5000 1
Co3 Co 0.0020 0.5010 0.0796 1
# E_tot (eV/atom): -6.5656
# M_tot (μB per formula unit): 3.4
# ρ (g cm⁻³): 8.7
# Formation energy from the elements (eV/atom): -0.04

# BaLiHg4Pd2 | Alexandria | PBE | relaxed
data_BaLiHg4Pd2
_cell_length_a 4.7759
_cell_length_b 4.7759
_cell_length_c 28.4552
_cell_angle_alpha 90.00
_cell_angle_beta 90.00
_cell_angle_gamma 120.00
_symmetry_space_group_name_H-M 'R -3 m'
_symmetry_Int_Tables_number 166
_symmetry_space_group_name_Hall '-R 3 2"'
loop_
_atom_site_label
_atom_site_type_symbol
_atom_site_fract_x
_atom_site_fract_y
_atom_site_fract_z
_atom_site_occupancy
Ba1 Ba 0.0000 0.0000 0.0000 1
Li1 Li 0.0000 0.0000 0.5000 1
Hg1 Hg 0.0000 0.0000 0.1316 1
Hg2 Hg 0.0000 0.0000 0.4034 1
Pd1 Pd 0.0000 0.0000 0.2338 1
# E_tot (eV/atom): -2.2806
# M_tot (μB per formula unit): 0.0
# ρ (g cm⁻³): 10.3
# Formation energy from the elements (eV/atom): -0.35

# LaSm2Zn4 | Alexandria | PBE | relaxed
data_LaSm2Zn4
_cell_length_a 5.3154
_cell_length_b 5.3154
_cell_length_c 12.8535
_cell_angle_alpha 90.00
_cell_angle_beta 90.00
_cell_angle_gamma 90.00
_symmetry_space_group_name_H-M 'I 4/m m m'
_symmetry_Int_Tables_number 139
_symmetry_space_group_name_Hall '-I 4 2'
loop_
_atom_site_label
_atom_site_type_symbol
_atom_site_fract_x
_atom_site_fract_y
_atom_site_fract_z
_atom_site_occupancy
La1 La 0.0000 0.0000 0.0000 1
Sm1 Sm 0.0000 0.0000 0.2797 1
Zn1 Zn 0.0000 0.5000 0.1123 1
# E_tot (eV/atom): -2.9036
# M_tot (μB per formula unit): 0.0
# ρ (g cm⁻³): 6.4
# Formation energy from the elements (eV/atom): -0.12

# La4PmHg | Alexandria | PBE | relaxed
data_La4PmHg
_cell_length_a 3.7855
_cell_length_b 3.7855
_cell_length_c 14.2138
_cell_angle_alpha 90.00
_cell_angle_beta 90.00
_cell_angle_gamma 90.00
_symmetry_space_group_name_H-M 'P 4/m m m'
_symmetry_Int_Tables_number 123
_symmetry_space_group_name_Hall '-P 4 2'
loop_
_atom_site_label
_atom_site_type_symbol
_atom_site_fract_x
_atom_site_fract_y
_atom_site_fract_z
_atom_site_occupancy
La1 La 0.0000 0.0000 0.1445 1
La2 La 0.5000 0.5000 0.3222 1
Pm1 Pm 0.0000 0.0000 0.5000 1
Hg1 Hg 0.5000 0.5000 0.0000 1
# E_tot (eV/atom): -4.2887
# M_tot (μB per formula unit): 0.0
# ρ (g cm⁻³): 7.3
# Formation energy from the elements (eV/atom): -0.16

# TaZn3Rh | Alexandria | PBE | relaxed
data_TaZn3Rh
_cell_length_a 4.8798
_cell_length_b 4.8798
_cell_length_c 4.8798
_cell_angle_alpha 90.00
_cell_angle_beta 90.00
_cell_angle_gamma 90.00
_symmetry_space_group_name_H-M 'P m -3 m'
_symmetry_Int_Tables_number 221
_symmetry_space_group_name_Hall '-P 4 2 3'
loop_
_atom_site_label
_atom_site_type_symbol
_atom_site_fract_x
_atom_site_fract_y
_atom_site_fract_z
_atom_site_occupancy
Ta1 Ta 0.0000 0.0000 0.0000 1
Zn1 Zn 0.0000 0.0000 0.5000 1
Rh1 Rh 0.5000 0.5000 0.5000 1
# E_tot (eV/atom): -3.0706
# M_tot (μB per formula unit): 0.0
# ρ (g cm⁻³): 6.9
# Formation energy from the elements (eV/atom): 1.53

# La2ErSc | Alexandria | PBE | relaxed
data_La2ErSc
_cell_length_a 3.5675
_cell_length_b 3.5675
_cell_length_c 34.6157
_cell_angle_alpha 90.00
_cell_angle_beta 90.00
_cell_angle_gamma 120.00
_symmetry_space_group_name_H-M 'R 3 m'
_symmetry_Int_Tables_number 160
_symmetry_space_group_name_Hall 'R 3 -2"'
loop_
_atom_site_label
_atom_site_type_symbol
_atom_site_fract_x
_atom_site_fract_y
_atom_site_fract_z
_atom_site_occupancy
La1 La 0.0000 0.0000 0.0000 1
La2 La 0.0000 0.0000 0.1608 1
Er1 Er 0.0000 0.0000 0.5822 1
Sc1 Sc 0.0000 0.0000 0.4132 1
# E_tot (eV/atom): -5.1166
# M_tot (μB per formula unit): 0.0
# ρ (g cm⁻³): 6.4
# Formation energy from the elements (eV/atom): 0.07

# CdSiSn2 | Alexandria | PBE | relaxed
data_CdSiSn2
_cell_length_a 6.5945
_cell_length_b 6.5945
_cell_length_c 11.5218
_cell_angle_alpha 90.00
_cell_angle_beta 90.00
_cell_angle_gamma 90.00
_symmetry_space_group_name_H-M 'I -4 2 d'
_symmetry_Int_Tables_number 122
_symmetry_space_group_name_Hall 'I -4 2bw'
loop_
_atom_site_label
_atom_site_type_symbol
_atom_site_fract_x
_atom_site_fract_y
_atom_site_fract_z
_atom_site_occupancy
Cd1 Cd 0.0000 0.0000 0.0000 1
Si1 Si 0.0000 0.0000 0.5000 1
Sn1 Sn 0.2193 0.2500 0.6250 1
# E_tot (eV/atom): -3.3184
# M_tot (μB per formula unit): 0.0
# Uncorrected formation energy (eV per atom): 0.27
# ρ (g cm⁻³): 5.0

# Zr2AlOs | Alexandria | PBE | relaxed
data_Zr2AlOs
_cell_length_a 3.2264
_cell_length_b 3.2264
_cell_length_c 7.1528
_cell_angle_alpha 90.00
_cell_angle_beta 90.00
_cell_angle_gamma 90.00
_symmetry_space_group_name_H-M 'P 4 m m'
_symmetry_Int_Tables_number 99
loop_
_symmetry_equiv_pos_as_xyz
'x,y,z'
'-y,x,z'
'-x,-y,z'
'y,-x,z'
'-x,y,z'
'y,x,z'
'x,-y,z'
'-y,-x,z'
loop_
_atom_site_label
_atom_site_type_symbol
_atom_site_fract_x
_atom_site_fract_y
_atom_site_fract_z
_atom_site_occupancy
Zr1 Zr 0.0000 0.0000 0.0000 1
Zr2 Zr 0.5000 0.5000 0.3042 1
Al1 Al 0.0000 0.0000 0.5847 1
Os1 Os 0.5000 0.5000 0.7687 1
# E_tot (eV/atom): -8.3667
# M_tot (μB per formula unit): 0.0
# ρ (g cm⁻³): 8.9
# Formation energy from the elements (eV/atom): -0.35

# SmNi5Au | Alexandria | PBE | relaxed
data_SmNi5Au
_cell_length_a 8.0459
_cell_length_b 4.8867
_cell_length_c 10.2349
_cell_angle_alpha 90.00
_cell_angle_beta 90.00
_cell_angle_gamma 90.00
_symmetry_space_group_name_H-M 'P n m a'
_symmetry_Int_Tables_number 62
loop_
_symmetry_equiv_pos_as_xyz
'x,y,z'
'-x,-y,-z'
'-x+1/2,-y,z+1/2'
'x+1/2,y,-z+1/2'
'x+1/2,-y+1/2,-z+1/2'
'-x+1/2,y+1/2,z+1/2'
'-x,y+1/2,-z'
'x,-y+1/2,z'
loop_
_atom_site_label
_atom_site_type_symbol
_atom_site_fract_x
_atom_site_fract_y
_atom_site_fract_z
_atom_site_occupancy
Sm1 Sm 0.2416 0.2500 0.0601 1
Ni1 Ni 0.0523 0.7500 0.1101 1
Ni2 Ni 0.0665 0.0006 0.3145 1
Ni3 Ni 0.0895 0.2500 0.5182 1
Ni4 Ni 0.1870 0.2500 0.7446 1
Au1 Au 0.1387 0.7500 0.8621 1
# E_tot (eV/atom): -5.5280
# M_tot (μB per formula unit): 1.5
# ρ (g cm⁻³): 10.6
# Formation energy from the elements (eV/atom): -0.26

# Sc3Cu | Alexandria | PBE | relaxed
data_Sc3Cu
_cell_length_a 3.3740
_cell_length_b 4.8378
_cell_length_c 10.2519
_cell_angle_alpha 90.00
_cell_angle_beta 90.00
_cell_angle_gamma 90.00
_symmetry_space_group_name_H-M 'I m m m'
_symmetry_Int_Tables_number 71
_symmetry_space_group_name_Hall '-I 2 2'
loop_
_atom_site_label
_atom_site_type_symbol
_atom_site_fract_x
_atom_site_fract_y
_atom_site_fract_z
_atom_site_occupancy
Sc1 Sc 0.0000 0.0000 0.0000 1
Sc2 Sc 0.0000 0.5000 0.2109 1
Cu1 Cu 0.0000 0.0000 0.5000 1
# E_tot (eV/atom): -5.8733
# M_tot (μB per formula unit): 0.0
# ρ (g cm⁻³): 3.9
# Formation energy from the elements (eV/atom): -0.10